KTbRu2O8: optimized geometry, PBE-GGA.

Lattice parameters (Å, degrees): 5.967 5.967 7.683 90.00 90.00 120.00
Sites, in units of the cell vectors:
1 K 0.000 0.000 0.000
2 Tb 0.000 0.000 0.500
3 Ru 0.333 0.667 0.766
4 Ru 0.667 0.333 0.234
5 O 0.162 0.338 0.687
6 O 0.176 0.838 0.687
7 O 0.333 0.667 0.994
8 O 0.338 0.176 0.313
9 O 0.662 0.824 0.687
10 O 0.667 0.333 0.006
11 O 0.824 0.162 0.313
12 O 0.838 0.662 0.313

Summary:
Calculated volume   237 Å³/cell
Formation energy without anion corrections   -1.4823 eV per atom


KZn3Br: optimized geometry, PBE-GGA.

Lattice parameters (Å, degrees): 6.153 6.153 6.153 90.00 90.00 90.00
Sites, in units of the cell vectors:
1 K 0.000 0.000 0.000
2 Zn 0.000 0.500 0.500
3 Zn 0.500 0.000 0.500
4 Zn 0.500 0.500 0.000
5 Br 0.500 0.500 0.500

Summary:
Calculated volume   233 Å³/cell
Energy above the most stable polymorph in this dataset   0.000 eV/f.u.
Formation energy without anion corrections   0.2859 eV per atom


Ho2PuTe: optimized geometry, PBE-GGA.

Lattice parameters (Å, degrees): 10.060 10.060 10.060 21.77 21.77 21.77
Sites, in units of the cell vectors:
1 Ho 0.000 0.000 0.000
2 Ho 0.188 0.188 0.188
3 Pu 0.427 0.427 0.427
4 Te 0.594 0.594 0.594

Summary:
Calculated volume   123 Å³/cell
Energy above the most stable polymorph in this dataset   0.237 eV/f.u.
Formation energy without anion corrections   -0.3929 eV per atom


SnB: optimized geometry, PBE-GGA.

Lattice parameters (Å, degrees): 6.007 6.007 3.937 90.00 90.00 90.00
Sites, in units of the cell vectors:
1 Sn 0.245 0.245 0.000
2 Sn 0.255 0.745 0.500
3 Sn 0.745 0.255 0.500
4 Sn 0.755 0.755 0.000
5 B 0.110 0.110 0.500
6 B 0.390 0.610 0.000
7 B 0.610 0.390 0.000
8 B 0.890 0.890 0.500

Summary:
Calculated volume   142 Å³/cell
ΔE_f   0.61 eV/atom
Energy above the most stable polymorph in this dataset   0.444 eV/f.u.


| no. | D(E_F) (states/eV/f.u.) |
| --- | --- |
| 1 | 1.6 |
| 2 | 0.2 |
| 3 | 10.7 |
| 4 | 0.3 |